Density functional theory data (PBE-GGA) for a relaxed structure of Ac2Ge3SbAu4.

Cell lengths 4.6361, 4.6361, 10.9592 Å; angles 90.00, 90.00, 90.00 degrees
Element x y z (fractional)
Ac 0.0000 0.5000 0.2338
Ac 0.5000 0.0000 0.7662
Ge 0.0000 0.5000 0.8764
Ge 0.5000 0.0000 0.1236
Ge 0.5000 0.5000 0.5000
Sb 0.0000 0.0000 0.5000
Au 0.0000 0.0000 0.0000
Au 0.0000 0.5000 0.6446
Au 0.5000 0.0000 0.3554
Au 0.5000 0.5000 0.0000

Calculated values
- space-group type = P-4m2
- formation energy without anion corrections (meV per atom) = -598
- calculated total energy (eV/f.u.) = -45.28